Here is a relaxed ScVNF2 crystal from the Alexandria database. Energies are from PBE+U.

```
data_ScVNF2
_symmetry_space_group_name_H-M 'P 4/m m m'
_symmetry_Int_Tables_number 123
_symmetry_space_group_name_Hall '-P 4 2'
_cell_length_a 3.972
_cell_length_b 3.972
_cell_length_c 4.392
_cell_angle_alpha 90.00
_cell_angle_beta 90.00
_cell_angle_gamma 90.00
loop_
_atom_site_label
_atom_site_type_symbol
_atom_site_fract_x
_atom_site_fract_y
_atom_site_fract_z
Sc1 Sc 0.000 0.000 0.000
V1 V 0.500 0.500 0.500
N1 N 0.000 0.000 0.500
F1 F 0.000 0.500 0.000
```

Calculated values
Total magnetization ... 0.599 μB per atom
ΔE to the lowest computed polymorph ... 0.000 eV/atom